[1]
# BaCd2Cu | Alexandria | PBE | relaxed
# ΔE_f	7.2	kJ per mole of atoms
# volume	27.49	A^3/atom
# density	6.43	Mg/m³
data_BaCd2Cu
_chemical_formula_sum 'Ba4 Cd8 Cu4'
_cell_length_a 7.605
_cell_length_b 7.605
_cell_length_c 7.605
_cell_angle_alpha 90.00
_cell_angle_beta 90.00
_cell_angle_gamma 90.00
_space_group_name_H-M_alt 'F m -3 m'
_space_group_IT_number 225
_space_group_name_Hall '-F 4 2 3'
loop_
_atom_site_label
_atom_site_fract_x
_atom_site_fract_y
_atom_site_fract_z
Ba1 0.000 0.000 0.000
Cd1 0.250 0.250 0.250
Cu1 0.000 0.000 0.500

[2]
# Ba5CdCu2 | Alexandria | PBE | relaxed
# ΔE_f	-7.5	kJ per mole of atoms
# volume	40.96	A^3/atom
# density	4.69	Mg/m³
data_Ba5CdCu2
_chemical_formula_sum 'Ba20 Cd4 Cu8'
_cell_length_a 8.899
_cell_length_b 8.899
_cell_length_c 16.550
_cell_angle_alpha 90.00
_cell_angle_beta 90.00
_cell_angle_gamma 90.00
_space_group_name_H-M_alt 'I 4/m c m'
_space_group_IT_number 140
_space_group_name_Hall '-I 4 2c'
loop_
_atom_site_label
_atom_site_fract_x
_atom_site_fract_y
_atom_site_fract_z
Ba1 0.000 0.000 0.000
Ba2 0.170 0.330 0.138
Cd1 0.000 0.000 0.250
Cu1 0.103 0.397 0.500

[3]
# BaCd2Cu | Alexandria | PBE | relaxed
# ΔE_f	0.2	kJ per mole of atoms
# volume	26.99	A^3/atom
# density	6.55	Mg/m³
data_BaCd2Cu
_chemical_formula_sum 'Ba1 Cd2 Cu1'
_cell_length_a 3.773
_cell_length_b 3.773
_cell_length_c 7.586
_cell_angle_alpha 90.00
_cell_angle_beta 90.00
_cell_angle_gamma 90.00
_space_group_name_H-M_alt 'P 4 m m'
_space_group_IT_number 99
loop_
_space_group_symop_operation_xyz
'x,y,z'
'-y,x,z'
'-x,-y,z'
'y,-x,z'
'-x,y,z'
'y,x,z'
'x,-y,z'
'-y,-x,z'
loop_
_atom_site_label
_atom_site_fract_x
_atom_site_fract_y
_atom_site_fract_z
Ba1 0.000 0.000 0.000
Cd1 0.000 0.000 0.549
Cd2 0.500 0.500 0.329
Cu1 0.500 0.500 0.700

[4]
# BaCd2Cu | Alexandria | PBE | relaxed
# ΔE_f	0.6	kJ per mole of atoms
# volume	27.01	A^3/atom
# density	6.54	Mg/m³
data_BaCd2Cu
_chemical_formula_sum 'Ba4 Cd8 Cu4'
_cell_length_a 7.560
_cell_length_b 7.560
_cell_length_c 7.560
_cell_angle_alpha 90.00
_cell_angle_beta 90.00
_cell_angle_gamma 90.00
_space_group_name_H-M_alt 'F -4 3 m'
_space_group_IT_number 216
_space_group_name_Hall 'F -4 2 3'
loop_
_atom_site_label
_atom_site_fract_x
_atom_site_fract_y
_atom_site_fract_z
Ba1 0.000 0.000 0.000
Cd1 0.000 0.000 0.500
Cd2 0.250 0.250 0.750
Cu1 0.250 0.250 0.250